[1]
K2MgRh (PBE, optimized geometry); theoretical density = 2.50 g/cm³; electronic total energy = -2.662 eV/atom; crystal system = monoclinic; D(E_F) = 0.795 states/eV/atom; E_form = 0.123 eV per atom
1.0
-5.261 8.128 3.237
-7.638 6.641 1.335
-1.770 -1.485 3.372
Mg K Rh
1 2 1
direct
0.250 0.250 0.250
0.104 0.104 0.891
0.396 0.396 0.609
0.750 0.750 0.750

=====

[2]
KMgSbRh2 (PBE, optimized geometry); theoretical density = 4.86 g/cm³; electronic total energy = -3.940 eV/atom; crystal system = tetragonal; D(E_F) = 0.488 states/eV/atom; E_form (uncorrected) = 0.3635 eV per atom
1.0
-1.961 -0.070 -4.603
4.136 -2.906 -1.718
-2.483 -4.198 1.122
K Sb Mg Rh
1 1 1 2
direct
0.500 0.500 0.500
0.000 0.000 0.000
0.000 0.500 0.000
0.500 0.000 0.000
0.000 0.000 0.500

=====

[3]
KMg2ScRh (PBE, optimized geometry); theoretical density = 2.87 g/cm³; electronic total energy = -3.749 eV/atom; crystal system = tetragonal; D(E_F) = 0.501 states/eV/atom; E_form = -0.155 eV per atom
1.0
-0.317 4.926 1.883
-3.917 0.821 -2.808
-3.146 -1.691 3.893
Mg Sc K Rh
2 1 1 1
direct
0.500 0.000 0.000
0.000 0.000 0.500
0.000 0.500 0.000
0.500 0.500 0.500
0.000 0.000 0.000

=====

[4]
KMgSiRh2 (PBE, optimized geometry); theoretical density = 4.47 g/cm³; electronic total energy = -4.280 eV/atom; crystal system = tetragonal; D(E_F) = 0.287 states/eV/atom; E_form (uncorrected) = 0.2838 eV per atom
1.0
4.530 0.000 0.000
0.000 4.530 0.000
0.000 0.000 5.385
Rh Si K Mg
2 1 1 1
direct
0.000 0.500 0.000
0.500 0.000 0.000
0.000 0.000 0.000
0.000 0.000 0.500
0.500 0.500 0.500

=====

[5]
KSr2MgRh (PBE, optimized geometry); theoretical density = 3.02 g/cm³; electronic total energy = -2.780 eV/atom; crystal system = tetragonal; D(E_F) = 0.902 states/eV/atom; E_form = -0.098 eV per atom
1.0
5.906 0.000 0.000
0.000 5.906 0.000
0.000 0.000 5.386
Sr Mg Rh K
2 1 1 1
direct
0.500 0.000 0.000
0.000 0.500 0.000
0.000 0.000 0.500
0.000 0.000 0.000
0.500 0.500 0.500

=====

[6]
KMgTiRh2 (PBE, optimized geometry); theoretical density = 4.67 g/cm³; electronic total energy = -3.989 eV/atom; crystal system = tetragonal; D(E_F) = 1.362 states/eV/atom; E_form = 1.069 eV per atom
1.0
-1.242 3.819 -2.579
-4.368 -2.095 -0.998
-1.863 2.027 3.899
Ti Mg Rh K
1 1 2 1
direct
0.000 0.500 0.000
0.000 0.000 0.000
0.000 0.000 0.500
0.500 0.000 0.000
0.500 0.500 0.500

=====

[7]
KMgRhW2 (PBE, optimized geometry); theoretical density = 9.41 g/cm³; electronic total energy = -4.086 eV/atom; crystal system = tetragonal; D(E_F) = 1.033 states/eV/atom; E_form = 3.104 eV per atom
1.0
-1.781 -0.535 4.106
4.249 -0.556 1.771
0.288 4.443 0.704
Rh Mg W K
1 1 2 1
direct
0.500 0.500 0.500
0.000 0.500 0.000
0.500 0.000 0.000
0.000 0.000 0.500
0.000 0.000 0.000

=====

[8]
KYMg2Rh (PBE, optimized geometry); theoretical density = 3.16 g/cm³; electronic total energy = -3.778 eV/atom; crystal system = tetragonal; D(E_F) = 0.530 states/eV/atom; E_form = -0.157 eV per atom
1.0
5.314 0.000 0.000
0.000 5.314 0.000
0.000 0.000 5.194
Rh Y Mg K
1 1 2 1
direct
0.000 0.000 0.000
0.000 0.000 0.500
0.500 0.000 0.000
0.000 0.500 0.000
0.500 0.500 0.500

=====

[9]
KMg2ZnRh (PBE, optimized geometry); theoretical density = 3.33 g/cm³; electronic total energy = -2.726 eV/atom; crystal system = tetragonal; D(E_F) = 0.354 states/eV/atom; E_form = -0.143 eV per atom
1.0
5.056 0.000 0.000
0.000 5.056 0.000
0.000 0.000 5.000
Zn K Rh Mg
1 1 1 2
direct
0.000 0.000 0.500
0.500 0.500 0.500
0.000 0.000 0.000
0.000 0.500 0.000
0.500 0.000 0.000

=====

[10]
KMgZn2Rh (PBE, optimized geometry); theoretical density = 4.03 g/cm³; electronic total energy = -2.660 eV/atom; crystal system = tetragonal; D(E_F) = 0.362 states/eV/atom; E_form = -0.142 eV per atom
1.0
4.953 0.000 0.000
0.000 4.953 0.000
0.000 0.000 4.988
Zn Mg K Rh
2 1 1 1
direct
0.500 0.000 0.000
0.000 0.500 0.000
0.000 0.000 0.500
0.500 0.500 0.500
0.000 0.000 0.000

=====

[11]
K2MgZrRh (PBE, optimized geometry); theoretical density = 2.52 g/cm³; electronic total energy = -3.293 eV/atom; crystal system = tetragonal; D(E_F) = 1.124 states/eV/atom; E_form = 0.644 eV per atom
1.0
6.345 0.000 0.000
0.000 4.847 0.000
0.000 0.000 6.345
Zr K Mg Rh
1 2 1 1
direct
0.000 0.500 0.000
0.500 0.000 0.000
0.000 0.000 0.500
0.500 0.500 0.500
0.000 0.000 0.000

=====

[12]
K2MgRu (PBE, optimized geometry); theoretical density = 3.22 g/cm³; electronic total energy = -2.302 eV/atom; crystal system = orthorhombic; D(E_F) = 0.705 states/eV/atom; E_form = 0.965 eV per atom
1.0
-1.838 1.264 -1.998
-4.348 -0.394 3.752
1.399 5.514 2.201
Ru K Mg
1 2 1
direct
0.500 0.500 0.750
0.000 0.000 0.513
0.000 0.000 0.987
0.500 0.500 0.250

=====

[13]
KMg2Ru (PBE, optimized geometry); theoretical density = 3.15 g/cm³; energy above the lowest structure with this stoichiometry = 30.3 kJ/mol of atoms; electronic total energy = -2.836 eV/atom; crystal system = orthorhombic; D(E_F) = 0.772 states/eV/atom; E_form = 0.555 eV per atom
1.0
-1.643 -6.269 -0.474
3.111 -3.777 -4.276
-0.264 3.688 5.344
Mg Ru K
2 1 1
direct
0.444 0.444 0.000
0.056 0.056 0.000
0.250 0.750 0.500
0.750 0.250 0.500

=====

[14]
KMg2Ru (PBE, optimized geometry); theoretical density = 3.65 g/cm³; energy above the lowest structure with this stoichiometry = 35.6 kJ/mol of atoms; electronic total energy = -2.782 eV/atom; crystal system = cubic; D(E_F) = 1.090 states/eV/atom; E_form = 0.609 eV per atom
1.0
0.000 3.501 3.501
3.501 0.000 3.501
3.501 3.501 0.000
Mg Ru K
2 1 1
direct
0.250 0.250 0.250
0.750 0.750 0.750
0.500 0.500 0.500
0.000 0.000 0.000

=====

[15]
K3MgRu (PBE, optimized geometry); theoretical density = 1.63 g/cm³; energy above the lowest structure with this stoichiometry = 0.0 kJ/mol of atoms; electronic total energy = -1.819 eV/atom; crystal system = cubic; D(E_F) = 1.539 states/eV/atom; E_form = 1.014 eV per atom
1.0
6.273 0.000 0.000
0.000 6.273 0.000
0.000 0.000 6.273
Ru Mg K
1 1 3
direct
0.000 0.000 0.000
0.500 0.500 0.500
0.500 0.000 0.000
0.000 0.500 0.000
0.000 0.000 0.500

=====

[16]
K2MgRu (PBE, optimized geometry); theoretical density = 3.27 g/cm³; electronic total energy = -2.317 eV/atom; crystal system = monoclinic; D(E_F) = 0.929 states/eV/atom; E_form = 0.949 eV per atom
1.0
-6.368 -1.923 0.192
5.002 -3.266 -2.934
0.184 -2.656 1.808
K Mg Ru
2 1 1
direct
0.000 0.000 0.000
0.500 0.500 0.000
0.500 0.000 0.500
0.000 0.500 0.500

=====

[17]
KMg2Ru (PBE, optimized geometry); theoretical density = 2.97 g/cm³; energy above the lowest structure with this stoichiometry = 19.6 kJ/mol of atoms; electronic total energy = -2.947 eV/atom; crystal system = tetragonal; D(E_F) = 1.160 states/eV/atom; E_form = 0.443 eV per atom
1.0
3.548 0.000 0.000
0.000 3.548 0.000
0.000 0.000 8.374
Mg K Ru
2 1 1
direct
0.500 0.500 0.308
0.000 0.000 0.086
0.500 0.500 0.706
0.000 0.000 0.399

=====

[18]
KMg2Ru (PBE, optimized geometry); theoretical density = 3.02 g/cm³; energy above the lowest structure with this stoichiometry = 16.7 kJ/mol of atoms; electronic total energy = -2.977 eV/atom; crystal system = orthorhombic; D(E_F) = 0.877 states/eV/atom; E_form = 0.414 eV per atom
1.0
-1.882 0.458 -2.182
-3.251 -1.033 2.588
-0.710 7.945 2.280
K Mg Ru
1 2 1
direct
0.500 0.500 0.711
0.000 0.000 0.084
0.500 0.500 0.306
0.000 0.000 0.399

=====

[19]
K2MgRu (PBE, optimized geometry); theoretical density = 2.97 g/cm³; electronic total energy = -2.340 eV/atom; crystal system = orthorhombic; D(E_F) = 0.669 states/eV/atom; E_form = 0.926 eV per atom
1.0
-2.827 1.031 0.777
0.756 -0.934 2.866
4.522 10.679 2.287
K Ru Mg
2 1 1
direct
0.000 0.000 0.533
0.000 0.000 0.967
0.500 0.500 0.750
0.500 0.500 0.250

=====

[20]
K2MgRu (PBE, optimized geometry); theoretical density = 3.26 g/cm³; electronic total energy = -2.330 eV/atom; crystal system = tetragonal; D(E_F) = 0.896 states/eV/atom; E_form = 0.936 eV per atom
1.0
5.710 0.000 0.000
0.000 4.260 0.000
0.000 0.000 4.260
K Mg Ru
2 1 1
direct
0.000 0.000 0.000
0.000 0.500 0.500
0.500 0.500 0.000
0.500 0.000 0.500